An optimized crystal structure of Er4PPtSe2. Source: Alexandria, functional PBE.

abc: 7.040 3.987 7.075
angles: 90.00 108.86 90.00
Atoms (fractional coordinates):
1 Er 0.241 0.000 0.232
2 Er 0.257 0.500 0.770
3 Er 0.743 0.500 0.230
4 Er 0.759 0.000 0.768
5 P 0.000 0.500 0.000
6 Pt 0.500 0.000 0.000
7 Se 0.000 0.000 0.500
8 Se 0.500 0.500 0.500

Summary:
The volume comes out at 187.91 Å³ per cell. For the density of states at the Fermi level, the calculation gives 5.11 states/eV per cell. Its symmetry is P2/m, No. 10. The calculation puts the energy at -6.155 eV per atom. The value obtained for the uncorrected formation energy is -1.571 eV/atom. The calculation puts the theoretical density at 9.31 g/cm³.